Crystalline BaZr2C at its relaxed geometry, computed with PBE.

Results
ΔH_f (0 K): 1.2 eV per formula unit
DOS(E_F): 6.82 states/eV/f.u.

a = 7.0076 Å, b = 7.0076 Å, c = 7.0076 Å
α = 60.00°, β = 60.00°, γ = 60.00°
With the nearest neighbours (Å) after each atom.
Fractional positions:
1 Ba 0.1250 0.1250 0.1250  12 Zr 4.11, 4 Ba 4.29, 4 C 4.29
2 Ba 0.8750 0.8750 0.8750  12 Zr 4.11, 4 C 4.29, 4 Ba 4.29
3 Zr 0.0000 0.5000 0.5000  2 C 2.15
4 Zr 0.5000 0.0000 0.5000  2 C 2.15
5 Zr 0.5000 0.5000 0.0000  2 C 2.15
6 Zr 0.5000 0.5000 0.5000  2 C 2.15
7 C 0.3750 0.3750 0.3750  4 Zr 2.15
8 C 0.6250 0.6250 0.6250  4 Zr 2.15